Record 1
A geometry-optimized ScCuSe2 structure, computed with PBE.

Computed properties:
DFT total energy, eV per atom: -4.997
Spin magnetization, μB/f.u.: 0.0

Geometry as CIF:
```
data_ScCuSe2
_chemical_formula_sum 'Sc2 Cu2 Se4'
_cell_length_a 3.8897
_cell_length_b 6.1897
_cell_length_c 6.9692
_cell_angle_alpha 90.00
_cell_angle_beta 90.00
_cell_angle_gamma 90.00
_symmetry_space_group_name_H-M 'C m m m'
_symmetry_Int_Tables_number 65
_symmetry_space_group_name_Hall '-C 2 2'
loop_
_atom_site_label
_atom_site_fract_x
_atom_site_fract_y
_atom_site_fract_z
Sc1 0.0000 0.0000 0.0000
Cu1 0.0000 0.0000 0.5000
Se1 0.0000 0.5000 0.2567
```


Record 2
A geometry-optimized ScCuSe2 structure, computed with PBE.

Computed properties:
DFT total energy, eV per atom: -5.270
Spin magnetization, μB/f.u.: 0.0

Geometry as CIF:
```
data_ScCuSe2
_chemical_formula_sum 'Sc3 Cu3 Se6'
_cell_length_a 3.7571
_cell_length_b 3.7571
_cell_length_c 19.2576
_cell_angle_alpha 90.00
_cell_angle_beta 90.00
_cell_angle_gamma 120.00
_symmetry_space_group_name_H-M 'R 3 m'
_symmetry_Int_Tables_number 160
_symmetry_space_group_name_Hall 'R 3 -2"'
loop_
_atom_site_label
_atom_site_fract_x
_atom_site_fract_y
_atom_site_fract_z
Sc1 0.0000 0.0000 0.0000
Cu1 0.0000 0.0000 0.8361
Se1 0.0000 0.0000 0.2467
Se2 0.0000 0.0000 0.4228
```


Record 3
A geometry-optimized ScCu2Se structure, computed with PBE.

Computed properties:
DFT total energy, eV per atom: -4.748
Spin magnetization, μB/f.u.: 0.0

Geometry as CIF:
```
data_ScCu2Se
_chemical_formula_sum 'Sc2 Cu4 Se2'
_cell_length_a 3.8269
_cell_length_b 3.9314
_cell_length_c 8.8427
_cell_angle_alpha 90.00
_cell_angle_beta 90.00
_cell_angle_gamma 90.00
_symmetry_space_group_name_H-M 'I m m 2'
_symmetry_Int_Tables_number 44
loop_
_symmetry_equiv_pos_as_xyz
'x,y,z'
'-x,-y,z'
'-x,y,z'
'x,-y,z'
'x+1/2,y+1/2,z+1/2'
'-x+1/2,-y+1/2,z+1/2'
'-x+1/2,y+1/2,z+1/2'
'x+1/2,-y+1/2,z+1/2'
loop_
_atom_site_label
_atom_site_fract_x
_atom_site_fract_y
_atom_site_fract_z
Sc1 0.0000 0.0000 0.0000
Cu1 0.0000 0.0000 0.4354
Cu2 0.0000 0.5000 0.2495
Se1 0.0000 0.5000 0.7414
```


Record 4
A geometry-optimized ScCuSe structure, computed with PBE.

Computed properties:
Spin magnetization, μB/f.u.: 0.0
Energy above the lowest structure with this stoichiometry, kJ per mole of atoms: 52.2

Geometry as CIF:
```
data_ScCuSe
_chemical_formula_sum 'Sc4 Cu4 Se4'
_cell_length_a 6.1923
_cell_length_b 6.1923
_cell_length_c 6.1923
_cell_angle_alpha 90.00
_cell_angle_beta 90.00
_cell_angle_gamma 90.00
_symmetry_space_group_name_H-M 'F -4 3 m'
_symmetry_Int_Tables_number 216
_symmetry_space_group_name_Hall 'F -4 2 3'
loop_
_atom_site_label
_atom_site_fract_x
_atom_site_fract_y
_atom_site_fract_z
Sc1 0.0000 0.0000 0.0000
Cu1 0.0000 0.0000 0.5000
Se1 0.2500 0.2500 0.2500
```


Record 5
A geometry-optimized ScCu2Se structure, computed with PBE.

Computed properties:
DFT total energy, eV per atom: -4.990
Spin magnetization, μB/f.u.: 0.0

Geometry as CIF:
```
data_ScCu2Se
_chemical_formula_sum 'Sc2 Cu4 Se2'
_cell_length_a 3.4571
_cell_length_b 3.4700
_cell_length_c 11.3883
_cell_angle_alpha 90.00
_cell_angle_beta 90.00
_cell_angle_gamma 90.00
_symmetry_space_group_name_H-M 'A m m 2'
_symmetry_Int_Tables_number 38
loop_
_symmetry_equiv_pos_as_xyz
'x,y,z'
'-x,-y,z'
'-x,y,z'
'x,-y,z'
'x,y+1/2,z+1/2'
'-x,-y+1/2,z+1/2'
'-x,y+1/2,z+1/2'
'x,-y+1/2,z+1/2'
loop_
_atom_site_label
_atom_site_fract_x
_atom_site_fract_y
_atom_site_fract_z
Sc1 0.0000 0.0000 0.0000
Cu1 0.0000 0.0000 0.2308
Cu2 0.5000 0.0000 0.6562
Se1 0.5000 0.0000 0.4065
```


Record 6
A geometry-optimized ScCu2Se structure, computed with PBE.

Computed properties:
DFT total energy, eV per atom: -4.912
Spin magnetization, μB/f.u.: 0.0

Geometry as CIF:
```
data_ScCu2Se
_chemical_formula_sum 'Sc1 Cu2 Se1'
_cell_length_a 3.7468
_cell_length_b 3.7468
_cell_length_c 4.6305
_cell_angle_alpha 90.00
_cell_angle_beta 90.00
_cell_angle_gamma 90.00
_symmetry_space_group_name_H-M 'P 4/m m m'
_symmetry_Int_Tables_number 123
_symmetry_space_group_name_Hall '-P 4 2'
loop_
_atom_site_label
_atom_site_fract_x
_atom_site_fract_y
_atom_site_fract_z
Sc1 0.0000 0.0000 0.0000
Cu1 0.0000 0.5000 0.5000
Se1 0.5000 0.5000 0.0000
```


Record 7
A geometry-optimized ScCu2Se structure, computed with PBE.

Computed properties:
DFT total energy, eV per atom: -4.942
Spin magnetization, μB/f.u.: 0.0

Geometry as CIF:
```
data_ScCu2Se
_chemical_formula_sum 'Sc1 Cu2 Se1'
_cell_length_a 3.4400
_cell_length_b 3.4400
_cell_length_c 5.8773
_cell_angle_alpha 90.00
_cell_angle_beta 90.00
_cell_angle_gamma 90.00
_symmetry_space_group_name_H-M 'P 4 m m'
_symmetry_Int_Tables_number 99
loop_
_symmetry_equiv_pos_as_xyz
'x,y,z'
'-y,x,z'
'-x,-y,z'
'y,-x,z'
'-x,y,z'
'y,x,z'
'x,-y,z'
'-y,-x,z'
loop_
_atom_site_label
_atom_site_fract_x
_atom_site_fract_y
_atom_site_fract_z
Sc1 0.0000 0.0000 0.0000
Cu1 0.0000 0.0000 0.5650
Cu2 0.5000 0.5000 0.6762
Se1 0.5000 0.5000 0.1956
```


Record 8
A geometry-optimized Sc3Cu5Se12 structure, computed with PBE.

Computed properties:
DFT total energy, eV per atom: -4.602
Spin magnetization, μB/f.u.: 0.0

Geometry as CIF:
```
data_Sc3Cu5Se12
_chemical_formula_sum 'Sc24 Cu40 Se96'
_cell_length_a 15.1406
_cell_length_b 15.1406
_cell_length_c 15.1406
_cell_angle_alpha 90.00
_cell_angle_beta 90.00
_cell_angle_gamma 90.00
_symmetry_space_group_name_H-M 'I a -3 d'
_symmetry_Int_Tables_number 230
_symmetry_space_group_name_Hall '-I 4bd 2c 3'
loop_
_atom_site_label
_atom_site_fract_x
_atom_site_fract_y
_atom_site_fract_z
Sc1 0.0000 0.2500 0.1250
Cu1 0.0000 0.0000 0.0000
Cu2 0.0000 0.2500 0.3750
Se1 0.0216 0.0624 0.6514
```


Record 9
A geometry-optimized ScCuSe2 structure, computed with PBE.

Computed properties:
DFT total energy, eV per atom: -5.326
Spin magnetization, μB/f.u.: 0.0

Geometry as CIF:
```
data_ScCuSe2
_chemical_formula_sum 'Sc4 Cu4 Se8'
_cell_length_a 5.7774
_cell_length_b 5.7774
_cell_length_c 11.8589
_cell_angle_alpha 90.00
_cell_angle_beta 90.00
_cell_angle_gamma 90.00
_symmetry_space_group_name_H-M 'I -4 2 d'
_symmetry_Int_Tables_number 122
_symmetry_space_group_name_Hall 'I -4 2bw'
loop_
_atom_site_label
_atom_site_fract_x
_atom_site_fract_y
_atom_site_fract_z
Sc1 0.0000 0.0000 0.0000
Cu1 0.0000 0.0000 0.5000
Se1 0.2302 0.2500 0.6250
```


Record 10
A geometry-optimized ScCuSe2 structure, computed with PBE.

Computed properties:
DFT total energy, eV per atom: -5.360
Spin magnetization, μB/f.u.: 0.0

Geometry as CIF:
```
data_ScCuSe2
_chemical_formula_sum 'Sc2 Cu2 Se4'
_cell_length_a 6.9243
_cell_length_b 3.9628
_cell_length_c 7.4876
_cell_angle_alpha 90.00
_cell_angle_beta 101.09
_cell_angle_gamma 90.00
_symmetry_space_group_name_H-M 'C 1 2/m 1'
_symmetry_Int_Tables_number 12
loop_
_symmetry_equiv_pos_as_xyz
'x,y,z'
'-x,-y,-z'
'-x,y,-z'
'x,-y,z'
'x+1/2,y+1/2,z'
'-x+1/2,-y+1/2,-z'
'-x+1/2,y+1/2,-z'
'x+1/2,-y+1/2,z'
loop_
_atom_site_label
_atom_site_fract_x
_atom_site_fract_y
_atom_site_fract_z
Sc1 0.0000 0.0000 0.0000
Cu1 0.0000 0.5000 0.5000
Se1 0.1280 0.5000 0.8017
```


Record 11
A geometry-optimized ScCuSe structure, computed with PBE.

Computed properties:
Spin magnetization, μB/f.u.: 0.0
Energy above the lowest structure with this stoichiometry, kJ per mole of atoms: 0.0

Geometry as CIF:
```
data_ScCuSe
_chemical_formula_sum 'Sc6 Cu6 Se6'
_cell_length_a 4.1093
_cell_length_b 4.1093
_cell_length_c 28.2753
_cell_angle_alpha 90.00
_cell_angle_beta 90.00
_cell_angle_gamma 120.00
_symmetry_space_group_name_H-M 'R -3 m'
_symmetry_Int_Tables_number 166
_symmetry_space_group_name_Hall '-R 3 2"'
loop_
_atom_site_label
_atom_site_fract_x
_atom_site_fract_y
_atom_site_fract_z
Sc1 0.0000 0.0000 0.0621
Cu1 0.0000 0.0000 0.3262
Se1 0.0000 0.0000 0.2297
```


Record 12
A geometry-optimized ScCu2Se2 structure, computed with PBE.

Computed properties:
DFT total energy, eV per atom: -4.839
Spin magnetization, μB/f.u.: 0.0

Geometry as CIF:
```
data_ScCu2Se2
_chemical_formula_sum 'Sc2 Cu4 Se4'
_cell_length_a 3.5724
_cell_length_b 3.5724
_cell_length_c 13.4819
_cell_angle_alpha 90.00
_cell_angle_beta 90.00
_cell_angle_gamma 90.00
_symmetry_space_group_name_H-M 'I 4/m m m'
_symmetry_Int_Tables_number 139
_symmetry_space_group_name_Hall '-I 4 2'
loop_
_atom_site_label
_atom_site_fract_x
_atom_site_fract_y
_atom_site_fract_z
Sc1 0.0000 0.0000 0.0000
Cu1 0.0000 0.5000 0.2500
Se1 0.0000 0.0000 0.3878
```